First-principles (PBE with a Hubbard U) data for a geometry-optimized PrCo2WO6 structure, as listed in Alexandria via LeMat-Bulk.

E_tot = -7.12 eV per atom

Geometry as POSCAR:
```
PrCo2WO6
1.0
5.398 0.000 0.000
2.664 4.764 0.000
0.028 3.100 4.903
Pr Co W O
1 2 1 6
Cartesian
0.000 0.000 0.000
2.709 4.686 4.040
5.443 3.211 1.776
2.729 1.545 2.180
1.780 2.801 0.815
3.729 6.340 3.155
4.844 4.908 0.814
3.703 3.098 3.144
4.221 1.798 0.864
6.297 4.724 3.102
```